1.
The following is a PBE-GGA calculation of an optimized crystal structure of ZrSbO2, from Alexandria via LeMat-Bulk.

The total magnetization comes out at 0.000 μB/f.u. The value obtained for the uncorrected formation energy is -1.842 eV per atom. As for the total energy: -7.489 eV/atom. The calculated volume comes out at 22.55 Å³/atom.

Lattice parameters (Å, degrees): 6.2835 6.2835 9.1363 90.00 90.00 90.00
Closest atoms and distances in Å follow each position.
Space group I-42d (No. 122)
Unique sites:
1 Zr 0.0000 0.0000 0.0000  4 O 1.97
2 Sb 0.0000 0.0000 0.5000  8 O 3.42-3.78
3 O 0.0520 0.2500 0.1250  2 Zr 1.97

2.
The following is a PBE-GGA calculation of an optimized crystal structure of Cr3CuAs, from Alexandria via LeMat-Bulk.

The total magnetization comes out at 11.306 μB/f.u. As for the total energy: -6.343 eV/atom. The calculated volume comes out at 19.32 Å³/atom. Its calculated formation energy is 1.18 eV/atom.

Lattice parameters (Å, degrees): 4.5886 4.5886 4.5886 90.00 90.00 90.00
Closest atoms and distances in Å follow each position.
Space group Pm-3m (No. 221)
Unique sites:
1 Cr 0.0000 0.0000 0.5000  2 Cu 2.29
2 Cu 0.0000 0.0000 0.0000  6 Cr 2.29
3 As 0.5000 0.5000 0.5000  12 Cr 3.24

3.
The following is a PBE-GGA calculation of an optimized crystal structure of Li2NiSe, from Alexandria via LeMat-Bulk.

The total magnetization comes out at 0.000 μB/f.u. The value obtained for the uncorrected formation energy is -0.263 eV per atom. As for the total energy: -3.537 eV/atom. The calculated volume comes out at 15.09 Å³/atom.

Lattice parameters (Å, degrees): 3.2584 3.2808 5.6449 90.00 90.00 90.00
Closest atoms and distances in Å follow each position.
Space group Pmm2 (No. 25)
Unique sites:
1 Li 0.0000 0.0000 0.0000  1 Ni 2.54, 4 Se 2.76, 4 Li 2.84
2 Li 0.5000 0.5000 0.2925  1 Se 2.48, 4 Ni 2.73
3 Ni 0.0000 0.0000 0.5506  4 Se 2.53, 5 Li 2.54-2.73
4 Se 0.5000 0.5000 0.7323  5 Li 2.48-2.76, 4 Ni 2.53